GdLuGaCu after structural relaxation. Source: Alexandria via LeMat-Bulk, functional PBE.

Values from the calculation:
The calculation puts the formation energy at -1.7 eV per formula unit. The magnetic moment comes out at 7.31 μB per formula unit. The calculation puts the total energy at -6.849 eV per atom.

Structure (CIF):
```
data_GdLuGaCu
_cell_length_a 7.034
_cell_length_b 7.034
_cell_length_c 7.034
_cell_angle_alpha 90.00
_cell_angle_beta 90.00
_cell_angle_gamma 90.00
_space_group_name_H-M_alt 'F -4 3 m'
_space_group_IT_number 216
_space_group_name_Hall 'F -4 2 3'
loop_
_atom_site_label
_atom_site_type_symbol
_atom_site_fract_x
_atom_site_fract_y
_atom_site_fract_z
Gd1 Gd 0.000 0.000 0.000
Lu1 Lu 0.000 0.000 0.500
Ga1 Ga 0.250 0.250 0.750
Cu1 Cu 0.250 0.250 0.250
```